Density functional theory data (GGA+U) for a relaxed CsReMoO6 crystal.

Output
ρ (g/cm³): 5.03
Energy (eV/atom): -7.242
Crystal system: monoclinic

a = 5.281 Å, b = 9.656 Å, c = 6.624 Å
α = 90.00°, β = 91.49°, γ = 90.00°
Space group C2 (No. 5)
Asymmetric unit:
1 Cs 0.000 0.000 0.000
2 Re 0.000 0.664 0.500
3 Mo 0.000 0.342 0.500
4 O 0.106 0.511 0.338
5 O 0.191 0.789 0.332
6 O 0.218 0.199 0.331